This record from Alexandria describes an optimized crystal structure of Pm7SmPb4. The functional is PBE.

Lattice parameters (Å, degrees): 7.650 7.650 11.344 121.11 121.11 45.63
Element x y z (fractional)
Pm: 0.000 0.000 0.000
Pm: 0.178 0.178 0.594
Pm: 0.290 0.290 0.109
Pm: 0.448 0.448 0.631
Pm: 0.552 0.552 0.369
Pm: 0.710 0.710 0.891
Pm: 0.822 0.822 0.406
Sm: 0.500 0.500 0.000
Pb: 0.072 0.072 0.769
Pb: 0.205 0.205 0.326
Pb: 0.795 0.795 0.674
Pb: 0.928 0.928 0.231

Output
SG: C2/m (12)
Energy of formation from the pure elements: -1.89 eV per formula unit
N(E_F): 1.03 states/eV/atom